[1]
{"formula": "Er4Mg3In", "functional": "PBE", "state": "optimized geometry", "formation_energy_ev_per_fu": -1.019, "m_tot_mub_per_fu": 0.00, "space_group": "Pmm2", "lattice_angstrom": [[3.4237, 0.0000, 0.0000], [0.0000, 5.0209, 0.0000], [0.0000, 0.0000, 12.5274]], "species": ["Er", "Er", "Er", "Mg", "Er", "Mg", "Mg", "In"], "frac_coords": [[0.5000, 0.5000, 0.3257], [0.0000, 0.0000, 0.1714], [0.0000, 0.5000, 0.8285], [0.5000, 0.0000, 0.9338], [0.5000, 0.0000, 0.6744], [0.0000, 0.5000, 0.5651], [0.0000, 0.0000, 0.4334], [0.5000, 0.5000, 0.0677]]}

***

[2]
{"formula": "Cs2Cd4InHg3", "functional": "PBE", "state": "optimized geometry", "formation_energy_ev_per_fu": -1.140, "m_tot_mub_per_fu": 0.00, "space_group": "P-4m2", "lattice_angstrom": [[5.3768, 0.0000, 0.0000], [0.0000, 5.3768, 0.0000], [0.0000, 0.0000, 11.6788]], "species": ["Cs", "Cs", "Cd", "Cd", "Hg", "In", "Cd", "Cd", "Hg", "Hg"], "frac_coords": [[0.5000, 0.0000, 0.2487], [0.0000, 0.5000, 0.7513], [0.5000, 0.5000, 0.0000], [0.5000, 0.0000, 0.6173], [0.0000, 0.5000, 0.1254], [0.5000, 0.5000, 0.5000], [0.0000, 0.5000, 0.3827], [0.0000, 0.0000, 0.0000], [0.5000, 0.0000, 0.8746], [0.0000, 0.0000, 0.5000]]}